# 1
Crystalline La2CuNiN at its relaxed geometry, computed with PBE-GGA.

The energy relative to the elements, uncorrected is -2.790 eV per formula unit. The size of the total moment comes out at 0.00 μB/cell. As for the raw total energy: -30.85 eV for the cell shown. As for the density of states at the Fermi level: 1.00 states/eV per atom. As for the energy above the most stable polymorph in this dataset: 0 meV/atom.

a = 5.172 Å, b = 5.172 Å, c = 3.700 Å
α = 90.00°, β = 90.00°, γ = 90.00°
Element x y z (fractional)
La (0.500, 0.000, 0.000)
La (0.000, 0.500, 0.000)
N (0.000, 0.000, 0.000)
Ni (0.000, 0.000, 0.500)
Cu (0.500, 0.500, 0.500)

=====

# 2
Crystalline La2CuNiN at its relaxed geometry, computed with PBE-GGA.

The energy relative to the elements, uncorrected is -2.381 eV per formula unit. The size of the total moment comes out at 0.00 μB/cell. As for the raw total energy: -30.44 eV for the cell shown. As for the density of states at the Fermi level: 0.53 states/eV per atom. As for the energy above the most stable polymorph in this dataset: 82 meV/atom.

a = 5.106 Å, b = 5.106 Å, c = 3.785 Å
α = 90.00°, β = 90.00°, γ = 90.00°
Element x y z (fractional)
La (0.500, 0.000, 0.000)
La (0.000, 0.500, 0.000)
N (0.000, 0.000, 0.000)
Cu (0.000, 0.000, 0.500)
Ni (0.500, 0.500, 0.500)

=====

# 3
Crystalline LaCuNO2 at its relaxed geometry, computed with PBE-GGA.

The energy relative to the elements, uncorrected is -5.672 eV per formula unit. The size of the total moment comes out at 0.79 μB/cell. As for the raw total energy: -32.94 eV for the cell shown. As for the density of states at the Fermi level: 0.42 states/eV per atom.

a = 3.937 Å, b = 3.937 Å, c = 3.793 Å
α = 90.00°, β = 90.00°, γ = 90.00°
Element x y z (fractional)
Cu (0.000, 0.000, 0.000)
La (0.500, 0.500, 0.500)
N (0.000, 0.000, 0.500)
O (0.500, 0.000, 0.000)
O (0.000, 0.500, 0.000)

=====

# 4
Crystalline LaCuNO2 at its relaxed geometry, computed with PBE-GGA.

The energy relative to the elements, uncorrected is 0.200 eV per formula unit. The size of the total moment comes out at 2.34 μB/cell. As for the raw total energy: -27.07 eV for the cell shown. As for the density of states at the Fermi level: 0.55 states/eV per atom.

a = 4.445 Å, b = 4.445 Å, c = 4.922 Å
α = 90.00°, β = 90.00°, γ = 90.00°
Element x y z (fractional)
La (0.000, 0.000, 0.000)
Cu (0.500, 0.500, 0.500)
O (0.000, 0.500, 0.000)
O (0.500, 0.000, 0.000)
N (0.000, 0.000, 0.500)

=====

# 5
Crystalline La2CuOsN at its relaxed geometry, computed with PBE-GGA.

The energy relative to the elements, uncorrected is -2.584 eV per formula unit. The size of the total moment comes out at 0.00 μB/cell. As for the raw total energy: -36.09 eV for the cell shown. As for the density of states at the Fermi level: 0.54 states/eV per atom.

a = 5.251 Å, b = 5.251 Å, c = 3.828 Å
α = 90.00°, β = 90.00°, γ = 90.00°
Element x y z (fractional)
Cu (0.500, 0.500, 0.500)
La (0.500, 0.000, 0.000)
La (0.000, 0.500, 0.000)
Os (0.000, 0.000, 0.500)
N (0.000, 0.000, 0.000)

=====

# 6
Crystalline LaCu2PN at its relaxed geometry, computed with PBE-GGA.

The energy relative to the elements, uncorrected is -3.282 eV per formula unit. The size of the total moment comes out at 0.00 μB/cell. As for the raw total energy: -60.27 eV for the cell shown. As for the density of states at the Fermi level: 0.40 states/eV per atom.

a = 3.719 Å, b = 6.051 Å, c = 6.941 Å
α = 90.00°, β = 90.00°, γ = 107.90°
Element x y z (fractional)
P (0.266, 0.533, 0.250)
P (0.734, 0.467, 0.750)
Cu (0.829, 0.657, 0.439)
Cu (0.171, 0.343, 0.561)
Cu (0.171, 0.343, 0.939)
Cu (0.829, 0.657, 0.061)
La (0.542, 0.084, 0.250)
La (0.458, 0.916, 0.750)
N (0.000, 0.000, 0.000)
N (0.000, 0.000, 0.500)